DyEr2ScSe4 after structural relaxation, computed with PBE.

Cell lengths 6.9544, 3.9735, 6.9852 Å; angles 90.00, 109.00, 90.00 degrees
Positions (direct):
Dy 0.0000 0.0000 0.0000
Er 0.5000 0.0000 0.5000
Er 0.5000 0.5000 0.0000
Sc 0.0000 0.5000 0.5000
Se 0.2437 0.0000 0.7414
Se 0.2486 0.5000 0.2562
Se 0.7514 0.5000 0.7438
Se 0.7563 0.0000 0.2586

Calculated values
- D(E_F) (states/eV per cell) = 5.0
- calculated volume (Å³/cell) = 183
- E (hartree per atom) = -0.218
- E_form (uncorrected) (kcal/mol of atoms) = -38.6
- SG = No. 10